Entry 1:
Pr2HgC2N6: relaxed, PBE-GGA.

a b c (Å): 6.012 6.386 6.382
angles (deg): 109.65 90.01 61.91
Fractional positions:
Pr1 0.838 0.323 0.780
Pr2 0.162 0.677 0.220
Hg1 0.500 0.000 0.500
C1 0.154 0.692 0.762
C2 0.846 0.308 0.238
N1 0.381 0.604 0.826
N2 0.985 0.396 0.174
N3 0.074 0.852 0.653
N4 0.015 0.604 0.826
N5 0.926 0.148 0.347
N6 0.619 0.396 0.174

Results
**Density of states at the Fermi level**: 0.867 states/eV/f.u.
**E_form (uncorrected)**: -0.10 eV per atom
**Total energy**: -79.32 eV for the cell shown

***

Entry 2:
RbHgC3S3N3: relaxed, PBE-GGA.

a b c (Å): 4.307 11.625 11.736
angles (deg): 66.01 90.00 90.00
Fractional positions:
Rb1 0.250 0.710 0.403
Rb2 0.750 0.290 0.597
Hg1 0.750 0.739 0.847
Hg2 0.250 0.261 0.153
C1 0.750 0.792 0.098
C2 0.750 0.023 0.350
C3 0.250 0.453 0.285
C4 0.250 0.977 0.650
C5 0.750 0.547 0.715
C6 0.250 0.208 0.902
S1 0.750 0.175 0.321
S2 0.250 0.483 0.134
S3 0.250 0.110 0.052
S4 0.750 0.517 0.866
S5 0.250 0.825 0.679
S6 0.750 0.890 0.948
N1 0.250 0.085 0.627
N2 0.750 0.565 0.608
N3 0.750 0.730 0.206
N4 0.750 0.915 0.373
N5 0.250 0.270 0.794
N6 0.250 0.435 0.392

Results
**Density of states at the Fermi level**: 0.000 states/eV/f.u.
**E_form (uncorrected)**: 0.01 eV per atom
**Total energy**: -132.45 eV for the cell shown

***

Entry 3:
ZnHgC4S4N4: relaxed, PBE-GGA.

a b c (Å): 8.357 8.357 8.357
angles (deg): 95.55 95.55 143.77
Fractional positions:
C1 0.158 0.373 0.343
C2 0.627 0.970 0.785
C3 0.185 0.842 0.215
C4 0.030 0.815 0.657
Zn1 0.750 0.250 0.500
S1 0.378 0.443 0.267
S2 0.557 0.824 0.935
S3 0.889 0.622 0.065
S4 0.176 0.111 0.733
Hg1 0.000 0.000 0.000
N1 0.007 0.330 0.402
N2 0.670 0.073 0.677
N3 0.395 0.993 0.323
N4 0.927 0.605 0.598

Results
**Density of states at the Fermi level**: 0.000 states/eV/f.u.
**E_form (uncorrected)**: 0.11 eV per atom
**Total energy**: -86.68 eV for the cell shown

***

Entry 4:
Sc6Hg2CN: relaxed, PBE-GGA.

a b c (Å): 6.353 6.353 9.007
angles (deg): 90.00 90.00 90.00
Fractional positions:
Sc1 0.500 0.250 0.250
Sc2 0.500 0.250 0.750
Sc3 0.000 0.750 0.250
Sc4 0.000 0.750 0.750
Sc5 0.250 0.000 0.500
Sc6 0.750 0.000 0.500
Sc7 0.250 0.500 0.500
Sc8 0.750 0.500 0.500
Sc9 0.750 0.500 0.000
Sc10 0.250 0.500 0.000
Sc11 0.250 0.000 0.000
Sc12 0.750 0.000 0.000
Hg1 0.500 0.750 0.250
Hg2 0.000 0.250 0.750
Hg3 0.500 0.750 0.750
Hg4 0.000 0.250 0.250
C1 0.000 0.750 0.500
C2 0.500 0.250 0.000
N1 0.500 0.250 0.500
N2 0.000 0.750 0.000

Results
**Density of states at the Fermi level**: 14.908 states/eV/f.u.
**E_form (uncorrected)**: -0.82 eV per atom
**Total energy**: -128.66 eV for the cell shown

***

Entry 5:
HgC2Se2N2: relaxed, PBE-GGA.

a b c (Å): 4.456 6.100 13.276
angles (deg): 88.01 90.00 90.00
Fractional positions:
Hg1 0.000 0.000 0.000
Hg2 0.500 0.000 0.500
C1 0.262 0.554 0.121
C2 0.738 0.446 0.879
C3 0.238 0.554 0.621
C4 0.762 0.446 0.379
Se1 0.819 0.153 0.357
Se2 0.681 0.153 0.857
Se3 0.181 0.847 0.643
Se4 0.319 0.847 0.143
N1 0.733 0.636 0.388
N2 0.267 0.364 0.612
N3 0.767 0.636 0.888
N4 0.233 0.364 0.112

Results
**Density of states at the Fermi level**: 0.000 states/eV/f.u.
**E_form (uncorrected)**: 0.38 eV per atom
**Total energy**: -79.39 eV for the cell shown

***

Entry 6:
Sm2HgC2N6: relaxed, PBE-GGA.

a b c (Å): 5.751 6.336 6.250
angles (deg): 110.52 90.02 62.99
Fractional positions:
Sm1 0.841 0.317 0.781
Sm2 0.159 0.683 0.219
Hg1 0.500 0.000 0.500
C1 0.153 0.694 0.760
C2 0.847 0.306 0.240
N1 0.388 0.606 0.825
N2 0.994 0.394 0.175
N3 0.072 0.855 0.651
N4 0.006 0.606 0.825
N5 0.928 0.145 0.349
N6 0.612 0.394 0.175

Results
**Density of states at the Fermi level**: 1.188 states/eV/f.u.
**E_form (uncorrected)**: -0.13 eV per atom
**Total energy**: -79.59 eV for the cell shown

***

Entry 7:
SrHgC2N: relaxed, PBE-GGA.

a b c (Å): 5.295 7.389 5.295
angles (deg): 90.00 90.00 90.00
Fractional positions:
Sr1 0.000 0.000 0.000
C1 0.000 0.000 0.500
C2 0.500 0.000 0.000
Hg1 0.000 0.500 0.000
N1 0.500 0.500 0.500

Results
**Density of states at the Fermi level**: 2.787 states/eV/f.u.
**E_form (uncorrected)**: 3.11 eV per atom
**Total energy**: -13.23 eV for the cell shown

***

Entry 8:
Tb2HgC2N6: relaxed, PBE-GGA.

a b c (Å): 5.602 6.267 6.148
angles (deg): 111.48 90.02 63.44
Fractional positions:
Tb1 0.841 0.317 0.783
Tb2 0.159 0.683 0.217
Hg1 0.500 0.000 0.500
C1 0.151 0.697 0.760
C2 0.849 0.303 0.240
N1 0.391 0.608 0.826
N2 0.999 0.392 0.174
N3 0.071 0.858 0.650
N4 0.001 0.608 0.826
N5 0.929 0.142 0.350
N6 0.609 0.392 0.174

Results
**Density of states at the Fermi level**: 1.951 states/eV/f.u.
**E_form (uncorrected)**: -0.17 eV per atom
**Total energy**: -79.82 eV for the cell shown